# 1
Below is crystalline HfMgPCl2 at its relaxed geometry, with properties calculated at the PBE-GGA level.

## Properties
Total DFT energy (no corrections) ... -24.06 eV/cell
Offset from the most stable computed form ... 0.000 eV per atom
Size of the total moment ... 0.000 μB per atom
ΔE_f (raw) ... -681 meV per atom
SG ... No. 123

Geometry as extended XYZ:
```
5
Lattice="4.8929 0.0000 0.0000 0.0000 4.8929 0.0000 0.0000 0.0000 5.1933" Properties=species:S:1:pos:R:3 pbc="T T T"
Hf 0.0000 0.0000 0.0000
Mg 2.4465 2.4465 2.5967
P 0.0000 0.0000 2.5967
Cl 0.0000 2.4465 0.0000
Cl 2.4465 0.0000 0.0000
```


# 2
Below is crystalline SnAs3W at its relaxed geometry, with properties calculated at the PBE-GGA level.

## Properties
Total DFT energy (no corrections) ... -28.51 eV/cell
Offset from the most stable computed form ... 0.000 eV per atom
Energy of formation ... 2.39 eV per formula unit
Size of the total moment ... 0.000 μB per atom
SG ... No. 221

Geometry as extended XYZ:
```
5
Lattice="4.9468 0.0000 0.0000 0.0000 4.9468 0.0000 0.0000 0.0000 4.9468" Properties=species:S:1:pos:R:3 pbc="T T T"
Sn 0.0000 0.0000 0.0000
As 0.0000 2.4734 2.4734
As 2.4734 0.0000 2.4734
As 2.4734 2.4734 0.0000
W 2.4734 2.4734 2.4734
```


# 3
Below is crystalline CaRe2Ge2 at its relaxed geometry, with properties calculated at the PBE-GGA level.

## Properties
Total DFT energy (no corrections) ... -35.93 eV/cell
Energy of formation ... 0.20 eV per formula unit
Size of the total moment ... 0.000 μB per atom
SG ... No. 139

Geometry as extended XYZ:
```
5
Lattice="-2.2801 2.2801 4.7389 2.2801 -2.2801 4.7389 2.2801 2.2801 -4.7389" Properties=species:S:1:pos:R:3 pbc="T T T"
Ca 0.0000 0.0000 0.0000
Re 0.0000 0.0000 3.5876
Re 0.0000 0.0000 5.8901
Ge 2.2801 0.0000 2.3694
Ge 0.0000 2.2801 2.3694
```


# 4
Below is crystalline HfGeOs2 at its relaxed geometry, with properties calculated at the PBE-GGA level.

## Properties
Total DFT energy (no corrections) ... -70.84 eV/cell
Energy of formation ... 1.61 eV per formula unit
Size of the total moment ... 0.000 μB per atom
SG ... No. 122

Geometry as extended XYZ:
```
8
Lattice="-3.5601 3.5601 2.7760 3.5601 -3.5601 2.7760 3.5601 3.5601 -2.7760" Properties=species:S:1:pos:R:3 pbc="T T T"
Hf 0.0000 0.0000 0.0000
Hf 0.0000 3.5601 1.3880
Ge 3.5601 0.0000 1.3880
Ge 0.0000 0.0000 2.7760
Os 1.7801 -1.3926 2.0820
Os 2.1675 1.7801 0.6940
Os 1.7801 4.9528 -0.6940
Os 1.3926 1.7801 3.4700
```


# 5
Below is crystalline La8CuGe3I4 at its relaxed geometry, with properties calculated at the PBE-GGA level.

## Properties
Total DFT energy (no corrections) ... -78.78 eV/cell
Size of the total moment ... 0.000 μB per atom
ΔE_f (raw) ... -951 meV per atom
SG ... No. 166

Geometry as extended XYZ:
```
16
Lattice="4.4587 2.5743 7.6763 -4.4587 2.5743 7.6763 0.0000 -5.1485 7.6763" Properties=species:S:1:pos:R:3 pbc="T T T"
La 0.0000 0.0000 5.4258
La -2.2202 -1.2818 13.1053
La 0.0000 -2.5637 9.9238
La -2.2202 1.2818 9.9238
La 2.2202 -1.2818 13.1053
La 0.0000 2.5637 13.1053
La 2.2202 1.2818 9.9237
La 0.0000 0.0000 17.6033
Cu 0.0000 0.0000 11.5145
Ge -4.4587 0.0000 11.5145
Ge -2.2294 1.2871 3.8382
Ge 2.2294 1.2871 3.8382
I 0.0000 0.0000 0.0000
I -2.2294 -1.2871 7.6763
I -2.2294 1.2871 15.3527
I 0.0000 2.5742 7.6763
```


# 6
Below is crystalline K4Ce6Cl19 at its relaxed geometry, with properties calculated at the PBE-GGA level.

## Properties
Total DFT energy (no corrections) ... -134.92 eV/cell
Size of the total moment ... 0.310 μB per atom
ΔE_f (raw) ... -2063 meV per atom
SG ... No. 197

Geometry as extended XYZ:
```
29
Lattice="-6.3699 6.3699 6.3699 6.3699 -6.3699 6.3699 6.3699 6.3699 -6.3699" Properties=species:S:1:pos:R:3 pbc="T T T"
K 4.6206 4.6206 -4.6206
K 4.6206 -4.6206 4.6206
K 1.7493 1.7493 1.7493
K -4.6206 4.6206 4.6206
Ce 6.3699 0.0000 1.9837
Ce 6.3699 4.3861 0.0000
Ce 1.9837 6.3699 0.0000
Ce 4.3861 0.0000 6.3699
Ce 0.0000 1.9837 6.3699
Ce 0.0000 6.3699 4.3861
Cl 0.0000 0.0000 0.0000
Cl 4.3633 0.0000 0.0000
Cl 8.3764 0.0000 0.0000
Cl 5.8910 2.7637 -2.2972
Cl 8.6671 -0.4788 3.6062
Cl 2.7637 -2.2972 5.8910
Cl 4.0726 0.4788 3.6062
Cl 0.0000 4.3633 0.0000
Cl 0.0000 0.0000 4.3633
Cl 3.6062 4.0726 0.4788
Cl 6.8487 2.7637 2.2972
Cl 0.4788 3.6062 4.0726
Cl 3.6062 8.6671 -0.4788
Cl 0.0000 8.3764 0.0000
Cl 0.0000 0.0000 8.3764
Cl -2.2972 5.8910 2.7637
Cl 2.7637 2.2972 6.8487
Cl 2.2972 6.8487 2.7637
Cl -0.4788 3.6062 8.6671
```


# 7
Below is crystalline VSnIr3 at its relaxed geometry, with properties calculated at the PBE-GGA level.

## Properties
Total DFT energy (no corrections) ... -30.54 eV/cell
Offset from the most stable computed form ... 0.864 eV per atom
Energy of formation ... 9.17 eV per formula unit
Size of the total moment ... 0.434 μB per atom
SG ... No. 221

Geometry as extended XYZ:
```
5
Lattice="4.8168 0.0000 0.0000 0.0000 4.8168 0.0000 0.0000 0.0000 4.8168" Properties=species:S:1:pos:R:3 pbc="T T T"
V 0.0000 0.0000 0.0000
Sn 2.4084 2.4084 2.4084
Ir 0.0000 2.4084 2.4084
Ir 2.4084 0.0000 2.4084
Ir 2.4084 2.4084 0.0000
```


# 8
Below is crystalline InMoRu2 at its relaxed geometry, with properties calculated at the PBE-GGA level.

## Properties
Total DFT energy (no corrections) ... -31.33 eV/cell
Energy of formation ... 0.79 eV per formula unit
Size of the total moment ... 0.000 μB per atom
SG ... No. 119

Geometry as extended XYZ:
```
4
Lattice="-1.9073 1.9073 4.3497 1.9073 -1.9073 4.3497 1.9073 1.9073 -4.3497" Properties=species:S:1:pos:R:3 pbc="T T T"
In 0.0000 0.0000 0.0000
Mo 1.9073 0.0000 2.1748
Ru 0.0000 0.0000 4.3497
Ru 0.0000 1.9073 2.1748
```